[1]
# LaReAs2Os | Alexandria via LeMat-Bulk | meta-GGA SCAN | single point on PBEsol structure
# VASP energy = -45.0237 eV/atom
# Volume = 21.87 A^3/atom
# Magnetic moment = 0.0000 μB/atom
data_LaReAs2Os
_chemical_formula_sum 'La1 Re1 As2 Os1'
_cell_length_a 4.747
_cell_length_b 4.747
_cell_length_c 4.852
_cell_angle_alpha 90.00
_cell_angle_beta 90.00
_cell_angle_gamma 90.00
_space_group_name_H-M_alt 'P 4/m m m'
_space_group_IT_number 123
_space_group_name_Hall '-P 4 2'
loop_
_atom_site_label
_atom_site_fract_x
_atom_site_fract_y
_atom_site_fract_z
_atom_site_occupancy
La1 0.000 0.000 0.000 1
Re1 0.500 0.500 0.500 1
As1 0.000 0.500 0.500 1
Os1 0.500 0.500 0.000 1

---

[2]
# La2AsOsS | Alexandria via LeMat-Bulk | meta-GGA SCAN | single point on PBEsol structure
# VASP energy = -37.6063 eV/atom
# Volume = 25.54 A^3/atom
# Magnetic moment = 0.2002 μB/atom
# E_form (uncorrected) = -0.025 eV/atom
data_La2AsOsS
_chemical_formula_sum 'La2 As1 Os1 S1'
_cell_length_a 5.335
_cell_length_b 5.335
_cell_length_c 4.487
_cell_angle_alpha 90.00
_cell_angle_beta 90.00
_cell_angle_gamma 90.00
_space_group_name_H-M_alt 'P 4/m m m'
_space_group_IT_number 123
_space_group_name_Hall '-P 4 2'
loop_
_atom_site_label
_atom_site_fract_x
_atom_site_fract_y
_atom_site_fract_z
_atom_site_occupancy
La1 0.000 0.500 0.000 1
As1 0.000 0.000 0.500 1
Os1 0.500 0.500 0.500 1
S1 0.000 0.000 0.000 1

---

[3]
# LaAsP2 | Alexandria via LeMat-Bulk | meta-GGA SCAN | single point on PBEsol structure
# VASP energy = -21.5508 eV/atom
# Volume = 19.85 A^3/atom
# Magnetic moment = 0.0000 μB/atom
data_LaAsP2
_chemical_formula_sum 'La2 As2 P4'
_cell_length_a 3.692
_cell_length_b 5.051
_cell_length_c 8.513
_cell_angle_alpha 90.00
_cell_angle_beta 90.00
_cell_angle_gamma 90.00
_space_group_name_H-M_alt 'I m m m'
_space_group_IT_number 71
_space_group_name_Hall '-I 2 2'
loop_
_atom_site_label
_atom_site_fract_x
_atom_site_fract_y
_atom_site_fract_z
_atom_site_occupancy
La1 0.000 0.000 0.000 1
As1 0.000 0.000 0.500 1
P1 0.000 0.500 0.211 1

---

[4]
# LaAsP2 | Alexandria via LeMat-Bulk | meta-GGA SCAN | single point on PBEsol structure
# VASP energy = -21.4867 eV/atom
# Volume = 19.91 A^3/atom
# Magnetic moment = 0.0000 μB/atom
data_LaAsP2
_chemical_formula_sum 'La2 As2 P4'
_cell_length_a 4.039
_cell_length_b 4.039
_cell_length_c 9.764
_cell_angle_alpha 90.00
_cell_angle_beta 90.00
_cell_angle_gamma 90.00
_space_group_name_H-M_alt 'I -4 m 2'
_space_group_IT_number 119
_space_group_name_Hall 'I -4 -2'
loop_
_atom_site_label
_atom_site_fract_x
_atom_site_fract_y
_atom_site_fract_z
_atom_site_occupancy
La1 0.000 0.000 0.000 1
As1 0.000 0.500 0.750 1
P1 0.000 0.000 0.500 1
P2 0.000 0.500 0.250 1

---

[5]
# LaAsP2 | Alexandria via LeMat-Bulk | meta-GGA SCAN | single point on PBEsol structure
# VASP energy = -21.7280 eV/atom
# Volume = 22.56 A^3/atom
# Magnetic moment = 0.0000 μB/atom
data_LaAsP2
_chemical_formula_sum 'La1 As1 P2'
_cell_length_a 4.284
_cell_length_b 3.840
_cell_length_c 5.845
_cell_angle_alpha 90.00
_cell_angle_beta 110.20
_cell_angle_gamma 90.00
_space_group_name_H-M_alt 'P 1 m 1'
_space_group_IT_number 6
loop_
_space_group_symop_operation_xyz
'x,y,z'
'x,-y,z'
loop_
_atom_site_label
_atom_site_fract_x
_atom_site_fract_y
_atom_site_fract_z
_atom_site_occupancy
La1 0.000 0.000 0.000 1
As1 0.290 0.500 0.690 1
P1 0.482 0.000 0.514 1
P2 0.572 0.500 0.125 1

---

[6]
# LaAs3P | Alexandria via LeMat-Bulk | meta-GGA SCAN | single point on PBEsol structure
# VASP energy = -21.5904 eV/atom
# Volume = 33.66 A^3/atom
# Magnetic moment = 0.2875 μB/atom
data_LaAs3P
_chemical_formula_sum 'La1 As3 P1'
_cell_length_a 5.521
_cell_length_b 5.521
_cell_length_c 5.521
_cell_angle_alpha 90.00
_cell_angle_beta 90.00
_cell_angle_gamma 90.00
_space_group_name_H-M_alt 'P m -3 m'
_space_group_IT_number 221
_space_group_name_Hall '-P 4 2 3'
loop_
_atom_site_label
_atom_site_fract_x
_atom_site_fract_y
_atom_site_fract_z
_atom_site_occupancy
La1 0.000 0.000 0.000 1
As1 0.000 0.000 0.500 1
P1 0.500 0.500 0.500 1

---

[7]
# LaAsP | Alexandria via LeMat-Bulk | meta-GGA SCAN | single point on PBEsol structure
# VASP energy = -25.2259 eV/atom
# Volume = 21.19 A^3/atom
# Magnetic moment = 0.0000 μB/atom
data_LaAsP
_chemical_formula_sum 'La2 As2 P2'
_cell_length_a 3.585
_cell_length_b 3.585
_cell_length_c 9.890
_cell_angle_alpha 90.00
_cell_angle_beta 90.00
_cell_angle_gamma 90.00
_space_group_name_H-M_alt 'I 4 m m'
_space_group_IT_number 107
_space_group_name_Hall 'I 4 -2'
loop_
_atom_site_label
_atom_site_fract_x
_atom_site_fract_y
_atom_site_fract_z
_atom_site_occupancy
La1 0.000 0.000 0.000 1
As1 0.000 0.000 0.294 1
P1 0.000 0.000 0.703 1

---

[8]
# LaAsP2 | Alexandria via LeMat-Bulk | meta-GGA SCAN | single point on PBEsol structure
# VASP energy = -21.7694 eV/atom
# Volume = 22.15 A^3/atom
# Magnetic moment = 0.0000 μB/atom
data_LaAsP2
_chemical_formula_sum 'La1 As1 P2'
_cell_length_a 4.268
_cell_length_b 3.924
_cell_length_c 5.430
_cell_angle_alpha 90.00
_cell_angle_beta 102.99
_cell_angle_gamma 90.00
_space_group_name_H-M_alt 'P 1 2/m 1'
_space_group_IT_number 10
loop_
_space_group_symop_operation_xyz
'x,y,z'
'-x,-y,-z'
'-x,y,-z'
'x,-y,z'
loop_
_atom_site_label
_atom_site_fract_x
_atom_site_fract_y
_atom_site_fract_z
_atom_site_occupancy
La1 0.000 0.000 0.000 1
As1 0.500 0.000 0.500 1
P1 0.394 0.500 0.795 1

---

[9]
# La2AsPb | Alexandria via LeMat-Bulk | meta-GGA SCAN | single point on PBEsol structure
# VASP energy = -46.8040 eV/atom
# Volume = 31.27 A^3/atom
# Magnetic moment = 0.0000 μB/atom
# ΔE to the lowest computed polymorph = 0.000 eV/f.u.
data_La2AsPb
_chemical_formula_sum 'La6 As3 Pb3'
_cell_length_a 4.2419
_cell_length_b 4.2419
_cell_length_c 24.0824
_cell_angle_alpha 90.00
_cell_angle_beta 90.00
_cell_angle_gamma 120.00
_space_group_name_H-M_alt 'R -3 m'
_space_group_IT_number 166
_space_group_name_Hall '-R 3 2"'
loop_
_atom_site_label
_atom_site_fract_x
_atom_site_fract_y
_atom_site_fract_z
_atom_site_occupancy
La1 0.0000 0.0000 0.2393 1
As1 0.0000 0.0000 0.5000 1
Pb1 0.0000 0.0000 0.0000 1

---

[10]
# La2AsPb | Alexandria via LeMat-Bulk | meta-GGA SCAN | single point on PBEsol structure
# VASP energy = -46.4725 eV/atom
# Volume = 28.07 A^3/atom
# Magnetic moment = 0.0000 μB/atom
# ΔE to the lowest computed polymorph = 1.326 eV/f.u.
data_La2AsPb
_chemical_formula_sum 'La8 As4 Pb4'
_cell_length_a 7.658
_cell_length_b 7.658
_cell_length_c 7.658
_cell_angle_alpha 90.00
_cell_angle_beta 90.00
_cell_angle_gamma 90.00
_space_group_name_H-M_alt 'F m -3 m'
_space_group_IT_number 225
_space_group_name_Hall '-F 4 2 3'
loop_
_atom_site_label
_atom_site_fract_x
_atom_site_fract_y
_atom_site_fract_z
_atom_site_occupancy
La1 0.250 0.250 0.250 1
As1 0.000 0.000 0.000 1
Pb1 0.000 0.000 0.500 1

---

[11]
# La2AsPb | Alexandria via LeMat-Bulk | meta-GGA SCAN | single point on PBEsol structure
# VASP energy = -46.5026 eV/atom
# Volume = 27.91 A^3/atom
# Magnetic moment = 0.0000 μB/atom
# ΔE to the lowest computed polymorph = 1.206 eV/f.u.
data_La2AsPb
_chemical_formula_sum 'La4 As2 Pb2'
_cell_length_a 4.504
_cell_length_b 4.504
_cell_length_c 11.007
_cell_angle_alpha 90.00
_cell_angle_beta 90.00
_cell_angle_gamma 90.00
_space_group_name_H-M_alt 'I -4 m 2'
_space_group_IT_number 119
_space_group_name_Hall 'I -4 -2'
loop_
_atom_site_label
_atom_site_fract_x
_atom_site_fract_y
_atom_site_fract_z
_atom_site_occupancy
La1 0.000 0.000 0.000 1
La2 0.000 0.500 0.250 1
As1 0.000 0.500 0.750 1
Pb1 0.000 0.000 0.500 1

---

[12]
# LaAsPt3 | Alexandria via LeMat-Bulk | meta-GGA SCAN | single point on PBEsol structure
# VASP energy = -55.4614 eV/atom
# Volume = 20.99 A^3/atom
# Magnetic moment = 0.0000 μB/atom
data_LaAsPt3
_chemical_formula_sum 'La1 As1 Pt3'
_cell_length_a 4.717
_cell_length_b 4.717
_cell_length_c 4.717
_cell_angle_alpha 90.00
_cell_angle_beta 90.00
_cell_angle_gamma 90.00
_space_group_name_H-M_alt 'P m -3 m'
_space_group_IT_number 221
_space_group_name_Hall '-P 4 2 3'
loop_
_atom_site_label
_atom_site_fract_x
_atom_site_fract_y
_atom_site_fract_z
_atom_site_occupancy
La1 0.000 0.000 0.000 1
As1 0.500 0.500 0.500 1
Pt1 0.000 0.500 0.500 1